# KCaUF6

A relaxed structure of KCaUF6 (PBE, the Alexandria database).

* energy relative to the elements, uncorrected: -2932 kJ/mol of formula units
* M_tot: 0.3320 μB/atom
* calculated density: 4.005 g cm⁻³

```
data_KCaUF6
_chemical_formula_sum 'K2 Ca2 U2 F12'
_space_group_name_H-M_alt 'P -3 1 c'
_space_group_IT_number 163
_space_group_name_Hall '-P 3 2c'
_cell_length_a 6.3302
_cell_length_b 6.3302
_cell_length_c 10.3023
_cell_angle_alpha 90.00
_cell_angle_beta 90.00
_cell_angle_gamma 120.00
loop_
_atom_site_label
_atom_site_fract_x
_atom_site_fract_y
_atom_site_fract_z
K1 0.0000 0.0000 0.0000
Ca1 0.3333 0.6667 0.2500
U1 0.3333 0.6667 0.7500
F1 0.0039 0.3696 0.1397
```


# Ac2HoSe2S2

A relaxed structure of Ac2HoSe2S2 (PBE, the Alexandria database).

* energy relative to the elements, uncorrected: -1257 kJ/mol of formula units
* M_tot: 0.0000 μB/atom
* calculated density: 6.888 g cm⁻³

```
data_Ac2HoSe2S2
_chemical_formula_sum 'Ac4 Ho2 Se4 S4'
_space_group_name_H-M_alt 'I 4/m m m'
_space_group_IT_number 139
_space_group_name_Hall '-I 4 2'
_cell_length_a 5.070
_cell_length_b 5.070
_cell_length_c 15.776
_cell_angle_alpha 90.00
_cell_angle_beta 90.00
_cell_angle_gamma 90.00
loop_
_atom_site_label
_atom_site_fract_x
_atom_site_fract_y
_atom_site_fract_z
Ac1 0.000 0.000 0.129
Ho1 0.000 0.000 0.500
Se1 0.000 0.000 0.321
S1 0.000 0.500 0.000
```


# MnPH2

A relaxed structure of MnPH2 (PBE, the Alexandria database).

* M_tot: 0.0000 μB/atom
* calculated density: 4.918 g cm⁻³
* relative energy among the computed polymorphs: 3.70 eV/f.u.

```
data_MnPH2
_chemical_formula_sum 'Mn4 P4 H8'
_space_group_name_H-M_alt 'F m -3 m'
_space_group_IT_number 225
_space_group_name_Hall '-F 4 2 3'
_cell_length_a 4.915
_cell_length_b 4.915
_cell_length_c 4.915
_cell_angle_alpha 90.00
_cell_angle_beta 90.00
_cell_angle_gamma 90.00
loop_
_atom_site_label
_atom_site_fract_x
_atom_site_fract_y
_atom_site_fract_z
Mn1 0.000 0.000 0.000
P1 0.000 0.000 0.500
H1 0.250 0.250 0.250
```


# Sb2AuSe2

A relaxed structure of Sb2AuSe2 (PBE, the Alexandria database).

* energy relative to the elements, uncorrected: 42 kJ/mol of formula units
* M_tot: 0.0000 μB/atom
* calculated density: 7.245 g cm⁻³
* relative energy among the computed polymorphs: 0.61 eV/f.u.

```
data_Sb2AuSe2
_chemical_formula_sum 'Sb4 Au2 Se4'
_space_group_name_H-M_alt 'I 4/m m m'
_space_group_IT_number 139
_space_group_name_Hall '-I 4 2'
_cell_length_a 5.854
_cell_length_b 5.854
_cell_length_c 8.006
_cell_angle_alpha 90.00
_cell_angle_beta 90.00
_cell_angle_gamma 90.00
loop_
_atom_site_label
_atom_site_fract_x
_atom_site_fract_y
_atom_site_fract_z
Sb1 0.000 0.500 0.250
Au1 0.000 0.000 0.000
Se1 0.000 0.000 0.305
```


# NaLiTl2Rh

A relaxed structure of NaLiTl2Rh (PBE, the Alexandria database).

* M_tot: 0.0000 μB/atom
* calculated density: 6.703 g cm⁻³
* energy of formation from the pure elements: -0.051 eV/atom

```
data_NaLiTl2Rh
_chemical_formula_sum 'Na1 Li1 Tl2 Rh1'
_space_group_name_H-M_alt 'P 4/m m m'
_space_group_IT_number 123
_space_group_name_Hall '-P 4 2'
_cell_length_a 5.262
_cell_length_b 5.262
_cell_length_c 4.845
_cell_angle_alpha 90.00
_cell_angle_beta 90.00
_cell_angle_gamma 90.00
loop_
_atom_site_label
_atom_site_fract_x
_atom_site_fract_y
_atom_site_fract_z
Na1 0.000 0.000 0.000
Li1 0.500 0.500 0.000
Tl1 0.000 0.500 0.500
Rh1 0.500 0.500 0.500
```


# BaTbPt2

A relaxed structure of BaTbPt2 (PBE, the Alexandria database).

* M_tot: 0.0000 μB/atom
* calculated density: 10.118 g cm⁻³
* energy of formation from the pure elements: -0.888 eV/atom
* relative energy among the computed polymorphs: 0.28 eV/f.u.

```
data_BaTbPt2
_chemical_formula_sum 'Ba3 Tb3 Pt6'
_space_group_name_H-M_alt 'R -3 m'
_space_group_IT_number 166
_space_group_name_Hall '-R 3 2"'
_cell_length_a 4.6969
_cell_length_b 4.6969
_cell_length_c 17.6855
_cell_angle_alpha 90.00
_cell_angle_beta 90.00
_cell_angle_gamma 120.00
loop_
_atom_site_label
_atom_site_fract_x
_atom_site_fract_y
_atom_site_fract_z
Ba1 0.0000 0.0000 0.0000
Tb1 0.0000 0.0000 0.5000
Pt1 0.0000 0.0000 0.2156
```


Which of these has the highest M_tot?
KCaUF6


Among the records above, which one has the highest calculated density?
BaTbPt2


Repeat the second record exactly.
# Ac2HoSe2S2

A relaxed structure of Ac2HoSe2S2 (PBE, the Alexandria database).

* energy relative to the elements, uncorrected: -1257 kJ/mol of formula units
* M_tot: 0.0000 μB/atom
* calculated density: 6.888 g cm⁻³

```
data_Ac2HoSe2S2
_chemical_formula_sum 'Ac4 Ho2 Se4 S4'
_space_group_name_H-M_alt 'I 4/m m m'
_space_group_IT_number 139
_space_group_name_Hall '-I 4 2'
_cell_length_a 5.070
_cell_length_b 5.070
_cell_length_c 15.776
_cell_angle_alpha 90.00
_cell_angle_beta 90.00
_cell_angle_gamma 90.00
loop_
_atom_site_label
_atom_site_fract_x
_atom_site_fract_y
_atom_site_fract_z
Ac1 0.000 0.000 0.129
Ho1 0.000 0.000 0.500
Se1 0.000 0.000 0.321
S1 0.000 0.500 0.000
```